No. 1
## Tc2HgMo (PBE-GGA)

Data for an optimized crystal structure of Tc2HgMo.

abc: 2.8398 2.8398 8.1490
angles: 90.00 90.00 90.00
Closest atoms and distances in Å follow each position.
Positions (direct):
1 Hg 0.0000 0.0000 0.4950  4 Hg 2.84, 4 Tc 3.01, 4 Mo 3.03
2 Tc 0.0000 0.0000 0.0122  8 Tc 2.62-2.84, 4 Mo 2.79
3 Tc 0.5000 0.5000 0.2192  8 Tc 2.62-2.84
4 Mo 0.5000 0.5000 0.7737  4 Tc 2.79, 4 Mo 2.84, 4 Hg 3.03

**Formation energy from the elements**: 0.321 eV per atom
**Space group**: No. 99
**Energy**: -7.64 eV per atom


No. 2
## Tc2HgMo (PBE-GGA)

Data for an optimized crystal structure of Tc2HgMo.

abc: 3.1035 3.1035 6.9361
angles: 90.00 90.00 90.00
Closest atoms and distances in Å follow each position.
Positions (direct):
1 Hg 0.5000 0.5000 0.2500  8 Tc 2.95, 4 Hg 3.10
2 Tc 0.0000 0.0000 0.9652  4 Mo 2.65, 4 Hg 2.95
3 Tc 0.0000 0.0000 0.5348  4 Mo 2.65, 4 Hg 2.95
4 Mo 0.5000 0.5000 0.7500  8 Tc 2.65

**Formation energy from the elements**: 0.376 eV per atom
**Space group**: No. 123
**Energy**: -7.59 eV per atom


No. 3
## Tc2HgMo (PBE-GGA)

Data for an optimized crystal structure of Tc2HgMo.

abc: 5.3534 5.3534 5.3534
angles: 146.33 128.13 63.28
Closest atoms and distances in Å follow each position.
Positions (direct):
1 Hg 0.2500 0.7500 0.5000  4 Mo 2.81, 8 Tc 2.93-3.12, 2 Hg 3.10
2 Mo 0.7500 0.2500 0.5000  4 Tc 2.58, 4 Hg 2.81
3 Tc 0.5232 0.5232 0.0000  2 Mo 2.58, 4 Tc 2.84
4 Tc 0.9768 0.9768 0.0000  2 Mo 2.58, 4 Tc 2.84

**Formation energy from the elements**: 0.505 eV per atom
**Space group**: No. 71
**Energy**: -7.46 eV per atom


No. 4
## TcHg2Mo (PBE-GGA)

Data for an optimized crystal structure of TcHg2Mo.

abc: 5.2765 5.2765 4.9928
angles: 72.23 72.23 34.61
Closest atoms and distances in Å follow each position.
Positions (direct):
1 Hg 0.2396 0.2396 0.2510  4 Tc 2.91-3.04, 5 Hg 2.95-3.14, 3 Mo 3.07-3.10
2 Hg 0.0121 0.0121 0.9991  4 Mo 2.92-3.03, 5 Hg 2.95-3.14, 3 Tc 3.05-3.13
3 Tc 0.7786 0.7786 0.7101  2 Mo 2.42
4 Mo 0.4697 0.4697 0.5398  2 Tc 2.42

**Formation energy from the elements**: 0.535 eV per atom
**Space group**: No. 8
**E above lowest polymorph**: 223.6 meV per atom
**Energy**: -4.92 eV per atom


No. 5
## Tc4HgMo (PBE-GGA)

Data for an optimized crystal structure of Tc4HgMo.

abc: 5.1558 5.1558 5.1558
angles: 60.00 60.00 60.00
Closest atoms and distances in Å follow each position.
Positions (direct):
1 Hg 0.7500 0.7500 0.7500  12 Tc 3.02, 4 Mo 3.16
2 Tc 0.3755 0.3755 0.8734  6 Tc 2.57-2.59
3 Tc 0.8734 0.3755 0.3755  6 Tc 2.57-2.59
4 Tc 0.3755 0.3755 0.3755  6 Tc 2.57-2.59
5 Tc 0.3755 0.8734 0.3755  6 Tc 2.57-2.59
6 Mo 0.0000 0.0000 0.0000  12 Tc 3.02, 4 Hg 3.16

**Formation energy from the elements**: 0.393 eV per atom
**Space group**: No. 216
**Energy**: -8.37 eV per atom


No. 6
## TcHg2Mo (PBE-GGA)

Data for an optimized crystal structure of TcHg2Mo.

abc: 2.8036 2.8036 9.4919
angles: 90.00 90.00 105.59
Closest atoms and distances in Å follow each position.
Positions (direct):
1 Mo 0.5000 0.5000 0.2500  4 Mo 2.80, 4 Hg 2.93
2 Hg 0.0000 0.0000 0.9980  4 Hg 2.80, 2 Tc 2.90, 2 Mo 2.93
3 Hg 0.0000 0.0000 0.5020  4 Hg 2.80, 2 Tc 2.90, 2 Mo 2.93
4 Tc 0.5000 0.5000 0.7500  4 Tc 2.80, 4 Hg 2.90

**Formation energy from the elements**: 0.744 eV per atom
**Space group**: No. 65
**E above lowest polymorph**: 432.8 meV per atom
**Energy**: -4.71 eV per atom


No. 7
## Tc2HgMo (PBE-GGA)

Data for an optimized crystal structure of Tc2HgMo.

abc: 5.2996 5.2996 5.2996
angles: 144.49 130.08 62.75
Closest atoms and distances in Å follow each position.
Positions (direct):
1 Tc 0.9959 0.9959 0.0000  2 Mo 2.62, 2 Tc 2.70, 4 Hg 2.76
2 Tc 0.2346 0.7346 0.5000  2 Tc 2.70, 4 Mo 2.78, 2 Hg 2.90
3 Hg 0.5011 0.5011 0.0000  8 Tc 2.76-3.08, 4 Mo 2.91-3.07
4 Mo 0.7683 0.2683 0.5000  6 Tc 2.62-2.78, 2 Hg 2.91

**Formation energy from the elements**: 0.502 eV per atom
**Space group**: No. 44
**Energy**: -7.46 eV per atom


No. 8
## TcHgMo (PBE-GGA)

Data for an optimized crystal structure of TcHgMo.

abc: 2.9293 2.9293 6.9842
angles: 90.00 90.00 120.00
Closest atoms and distances in Å follow each position.
Positions (direct):
1 Hg 0.0000 0.0000 0.9979  6 Hg 2.93, 3 Tc 3.01, 3 Mo 3.05
2 Mo 0.3333 0.6667 0.3610  3 Tc 2.59
3 Tc 0.6667 0.3333 0.6411  3 Mo 2.59

**Formation energy from the elements**: 0.388 eV per atom
**Space group**: No. 156
**E above lowest polymorph**: 33.8 meV per atom
**Energy**: -6.78 eV per atom


No. 9
## Tc2HgMo (PBE-GGA)

Data for an optimized crystal structure of Tc2HgMo.

abc: 4.5216 4.5216 4.5216
angles: 60.00 60.00 60.00
Closest atoms and distances in Å follow each position.
Positions (direct):
1 Tc 0.7500 0.7500 0.7500  4 Hg 2.77, 4 Tc 2.77
2 Tc 0.0000 0.0000 0.0000  4 Mo 2.77, 4 Tc 2.77
3 Mo 0.2500 0.2500 0.2500  4 Hg 2.77, 4 Tc 2.77
4 Hg 0.5000 0.5000 0.5000  4 Mo 2.77, 4 Tc 2.77

**Formation energy from the elements**: 0.669 eV per atom
**Space group**: No. 216
**Energy**: -7.30 eV per atom


No. 10
## TcHg2Mo (PBE-GGA)

Data for an optimized crystal structure of TcHg2Mo.

abc: 5.0446 5.0446 5.0446
angles: 131.55 131.55 70.94
Closest atoms and distances in Å follow each position.
Positions (direct):
1 Hg 0.0000 0.0000 0.0000  4 Hg 2.92, 4 Tc 2.92, 4 Mo 2.93
2 Hg 0.2500 0.7500 0.5000  4 Hg 2.92, 4 Mo 2.92, 4 Tc 2.93
3 Mo 0.5000 0.5000 0.0000  8 Hg 2.92-2.93, 4 Tc 2.92
4 Tc 0.7500 0.2500 0.5000  8 Hg 2.92-2.93, 4 Mo 2.92

**Formation energy from the elements**: 0.663 eV per atom
**Space group**: No. 119
**E above lowest polymorph**: 351.8 meV per atom
**Energy**: -4.79 eV per atom


No. 11
## TcHgMo (PBE-GGA)

Data for an optimized crystal structure of TcHgMo.

abc: 7.4913 7.2830 2.8296
angles: 83.13 74.84 22.02
Closest atoms and distances in Å follow each position.
Positions (direct):
1 Mo 0.6805 0.6805 0.3195  2 Tc 2.53, 4 Mo 2.83
2 Tc 0.3200 0.3200 0.6800  2 Mo 2.53, 4 Tc 2.83
3 Hg 0.9995 0.9995 0.0005  6 Hg 2.83-3.14, 2 Tc 3.00, 2 Mo 3.02

**Formation energy from the elements**: 0.469 eV per atom
**Space group**: No. 42
**E above lowest polymorph**: 114.9 meV per atom
**Energy**: -6.70 eV per atom


No. 12
## Tc2HgMo (PBE-GGA)

Data for an optimized crystal structure of Tc2HgMo.

abc: 2.8606 4.0082 5.7370
angles: 90.00 90.00 90.00
Closest atoms and distances in Å follow each position.
Positions (direct):
1 Tc 0.0000 0.0000 0.0048  6 Tc 2.73-2.86, 4 Mo 2.76, 2 Hg 2.83-2.90
2 Tc 0.5000 0.5000 0.2101  1 Mo 2.43
3 Hg 0.0000 0.0000 0.4986  6 Tc 2.83-2.97, 2 Hg 2.86, 4 Mo 2.96
4 Mo 0.5000 0.5000 0.7866  1 Tc 2.43

**Formation energy from the elements**: 0.324 eV per atom
**Space group**: No. 25
**Energy**: -7.64 eV per atom